(1)
A plane-wave DFT calculation with GGA-PBEsol was carried out for a relaxed YZr6P9O36 crystal.

Calculated values
Calculated density = 3.2 g/cm3
Formation energy from raw total energies = -2804.4 meV/atom

Cell and atoms, written as POSCAR:
```
YZr6P9O36
1.0
8.887 0.000 0.000
-4.444 7.697 0.000
0.000 0.000 22.469
Y Zr P O
2 12 18 72
Cartesian
0.000 0.000 0.000
0.000 0.000 11.235
0.000 0.000 3.325
0.000 0.000 7.910
0.000 0.000 14.559
0.000 0.000 19.145
0.000 5.131 0.726
0.000 5.131 7.010
0.000 5.131 11.960
0.000 5.131 18.245
4.444 2.566 4.225
4.444 2.566 10.509
4.444 2.566 15.460
4.444 2.566 21.744
-1.295 2.242 5.617
-3.149 5.455 16.852
-1.174 2.886 20.712
-2.531 5.237 9.477
2.589 0.000 5.617
1.295 2.242 16.852
1.174 2.886 9.477
-1.357 7.270 20.712
3.087 0.426 12.992
1.913 2.460 1.757
2.531 5.237 20.712
1.357 7.270 9.477
5.801 0.426 1.757
3.270 4.810 12.992
6.298 0.000 16.852
3.149 5.455 5.617
6.975 2.460 12.992
5.618 4.810 1.757
-0.580 1.416 20.750
-3.507 6.486 9.515
-0.644 1.556 4.381
-3.418 6.361 15.616
-1.046 3.723 13.017
-1.743 4.929 1.783
-0.688 3.587 19.452
-1.682 5.308 8.217
0.580 1.416 9.515
-0.667 3.568 21.983
-1.688 5.335 10.748
-2.927 7.491 20.750
-0.659 3.605 5.820
-1.651 5.323 17.055
0.644 1.556 15.616
-2.774 7.476 4.381
1.517 0.206 12.955
0.937 1.210 1.720
1.670 0.220 6.853
1.026 1.336 18.088
0.667 3.568 10.748
-1.020 6.491 21.983
0.659 3.605 17.055
-0.992 6.465 5.820
0.688 3.587 8.217
-0.994 6.499 19.452
1.046 3.723 1.783
-0.697 6.742 13.017
3.423 1.206 11.722
2.756 2.362 0.487
3.450 1.198 14.253
2.762 2.389 3.018
3.451 1.232 5.415
2.792 2.373 16.650
3.747 0.955 20.687
2.701 2.767 9.452
1.743 4.929 13.017
0.697 6.742 1.783
1.651 5.323 5.820
0.992 6.465 17.055
1.682 5.308 19.452
0.994 6.499 8.217
1.688 5.335 21.983
1.020 6.491 10.748
5.140 0.955 9.452
3.397 3.974 20.687
5.437 1.198 3.018
3.756 4.110 14.253
5.436 1.232 16.650
3.785 4.092 5.415
5.464 1.206 0.487
3.776 4.129 11.722
3.418 6.361 4.381
2.774 7.476 15.616
3.507 6.486 20.750
2.927 7.491 9.515
7.218 0.220 18.088
3.800 6.140 6.853
6.095 2.373 5.415
5.103 4.092 16.650
7.371 0.206 1.720
6.131 2.362 11.722
5.111 4.129 0.487
3.864 6.280 12.955
6.125 2.389 14.253
5.132 4.110 3.018
6.187 2.767 20.687
5.490 3.974 9.452
7.862 1.336 6.853
5.088 6.140 18.088
7.951 1.210 12.955
5.024 6.280 1.720
```

(2)
A plane-wave DFT calculation with GGA-PBEsol was carried out for a relaxed Ba2SbRh crystal.

Calculated values
Calculated density = 6.3 g/cm3
Formation energy from raw total energies = -577.7 meV/atom

Cell and atoms, written as POSCAR:
```
Ba2SbRh
1.0
4.752 0.000 0.000
0.000 2.491 5.570
0.000 -2.491 5.570
Ba Sb Rh
2 1 1
Cartesian
0.000 0.000 0.000
2.376 0.000 3.261
2.376 0.000 6.670
0.000 0.000 7.784
```

(3)
A plane-wave DFT calculation with GGA-PBEsol was carried out for a relaxed Be2AgBr crystal.

Calculated values
Calculated density = 4.8 g/cm3
Formation energy from raw total energies = 258.9 meV/atom

Cell and atoms, written as POSCAR:
```
Be2AgBr
1.0
3.213 0.000 0.000
0.000 3.092 0.000
-0.048 0.000 7.203
Be Ag Br
2 1 1
Cartesian
0.000 0.000 0.000
1.563 1.546 5.833
3.169 0.000 4.883
0.002 1.546 1.493
```

(4)
A plane-wave DFT calculation with GGA-PBEsol was carried out for a relaxed CsBa3Al crystal.

Calculated values
Calculated density = 3.1 g/cm3
Formation energy = 0.1341 eV per atom

Cell and atoms, written as POSCAR:
```
CsBa3Al
1.0
6.759 0.000 0.000
0.000 6.759 0.000
0.000 0.000 6.759
Cs Ba Al
1 3 1
Cartesian
0.000 0.000 0.000
0.000 3.379 3.379
3.379 0.000 3.379
3.379 3.379 0.000
3.379 3.379 3.379
```

(5)
A plane-wave DFT calculation with GGA-PBEsol was carried out for a relaxed Rb2Sn3Sb2S10 crystal.

Calculated values
Calculated density = 3.9 g/cm3
Formation energy from raw total energies = -568.8 meV/atom

Cell and atoms, written as POSCAR:
```
Rb2Sn3Sb2S10
1.0
6.778 0.000 0.000
0.000 13.149 0.000
-5.491 0.000 10.330
Rb Sn Sb S
4 6 4 20
Cartesian
-0.560 2.217 1.683
-3.306 4.358 6.848
4.593 8.791 3.482
1.847 10.932 8.647
-2.746 0.000 5.165
0.000 6.574 0.000
-1.959 0.689 8.694
0.787 5.886 3.529
0.500 7.263 6.801
3.246 12.460 1.636
-1.632 8.568 9.434
1.114 11.155 4.269
0.174 1.994 6.061
2.919 4.581 0.896
-4.307 7.351 8.172
-1.561 12.373 3.007
-1.869 2.343 4.743
-4.615 4.231 9.908
2.592 1.419 0.590
-0.153 5.156 5.755
2.193 6.935 1.363
-0.553 12.788 6.528
-0.856 9.230 7.115
1.889 10.493 1.950
-0.602 2.656 8.380
2.143 3.918 3.215
1.840 0.361 3.802
-0.906 6.213 8.967
1.440 7.993 4.575
-1.305 11.730 9.740
5.902 8.918 0.422
3.156 10.806 5.587
2.848 0.776 7.323
5.594 5.798 2.158
```

(6)
A plane-wave DFT calculation with GGA-PBEsol was carried out for a relaxed SbH2Pt2 crystal.

Calculated values
Calculated density = 14.4 g/cm3
E_tot = -4.965 eV per atom

Cell and atoms, written as POSCAR:
```
SbH2Pt2
1.0
-1.823 1.823 4.454
1.823 -1.823 4.454
1.823 1.823 -4.454
Sb H Pt
1 2 2
Cartesian
0.000 0.000 0.000
1.823 0.000 2.227
0.000 1.823 2.227
0.000 0.000 2.993
0.000 0.000 5.915
```

(7)
A plane-wave DFT calculation with GGA-PBEsol was carried out for a relaxed TaBiSe2 crystal.

Calculated values
Calculated density = 9.6 g/cm3
Formation energy from raw total energies = -535.1 meV/atom

Cell and atoms, written as POSCAR:
```
TaBiSe2
1.0
1.707 0.986 9.369
-1.707 0.986 9.369
0.000 -1.972 9.369
Ta Bi Se
1 1 2
Cartesian
0.000 0.000 0.000
0.000 0.000 14.053
0.000 0.000 11.049
0.000 0.000 17.058
```

(8)
A plane-wave DFT calculation with GGA-PBEsol was carried out for a relaxed ZnBiO3 crystal.

Calculated values
Calculated density = 8.4 g/cm3
Formation energy from raw total energies = -1114.0 meV/atom

Cell and atoms, written as POSCAR:
```
ZnBiO3
1.0
5.595 0.000 0.000
0.000 5.535 0.000
-5.370 0.000 8.276
Zn Bi O
4 4 12
Cartesian
-0.081 0.102 2.021
-2.767 2.666 6.159
2.992 2.869 2.116
0.306 5.433 6.254
-2.685 0.000 4.138
0.000 2.768 0.000
2.798 0.000 0.000
0.112 2.768 4.138
-3.393 0.734 6.346
-0.707 2.033 2.208
-1.744 3.554 4.710
0.941 4.748 0.572
-0.641 0.938 4.884
2.044 1.830 0.746
-1.819 3.705 7.529
0.866 4.597 3.392
-0.716 0.787 7.703
1.969 1.981 3.566
0.932 3.502 6.067
3.618 4.801 1.929
```

(9)
A plane-wave DFT calculation with GGA-PBEsol was carried out for a relaxed WN2OF crystal.

Calculated values
Calculated density = 9.4 g/cm3
Formation energy from raw total energies = 1780.7 meV/atom

Cell and atoms, written as POSCAR:
```
WN2OF
1.0
3.501 0.000 0.000
0.000 3.501 0.000
0.000 0.000 3.545
W N O F
1 2 1 1
Cartesian
0.000 0.000 0.000
0.000 1.751 1.772
1.751 0.000 1.772
1.751 1.751 0.000
1.751 1.751 1.772
```

(10)
A plane-wave DFT calculation with GGA-PBEsol was carried out for a relaxed MnZn2Au crystal.

Calculated values
Calculated density = 11.2 g/cm3
Formation energy = -0.0444 eV per atom

Cell and atoms, written as POSCAR:
```
MnZn2Au
1.0
3.845 0.000 0.000
0.000 3.845 0.000
0.000 0.000 3.832
Mn Zn Au
1 2 1
Cartesian
0.000 0.000 0.000
0.000 1.923 1.916
1.923 0.000 1.916
1.923 1.923 0.000
```

(11)
A plane-wave DFT calculation with GGA-PBEsol was carried out for a relaxed Si2NiAg crystal.

Calculated values
Calculated density = 6.8 g/cm3
Formation energy from raw total energies = -8.6 meV/atom

Cell and atoms, written as POSCAR:
```
Si2NiAg
1.0
3.222 0.000 0.000
0.000 3.222 0.000
0.000 0.000 5.222
Si Ni Ag
2 1 1
Cartesian
0.000 0.000 0.000
1.611 1.611 1.379
1.611 1.611 4.348
0.000 0.000 2.708
```

(12)
A plane-wave DFT calculation with GGA-PBEsol was carried out for a relaxed Na3Pm crystal.

Calculated values
Calculated density = 2.6 g/cm3
Formation energy = 0.3588 eV per atom

Cell and atoms, written as POSCAR:
```
Na3Pm
1.0
7.297 0.000 0.000
-3.649 6.320 0.000
0.000 0.000 5.846
Na Pm
6 2
Cartesian
0.000 2.084 1.461
-1.844 5.278 1.461
1.805 1.042 4.384
1.844 5.278 1.461
5.493 1.042 4.384
3.649 4.236 4.384
0.000 4.213 4.384
3.649 2.107 1.461
```